Record 1
This record from Alexandria via LeMat-Bulk describes crystalline CsTl2GeRh at its relaxed geometry. The functional is PBE.

Unit cell a=5.4982 b=5.4982 c=4.9168 alpha=90.00 beta=90.00 gamma=90.00
Closest atoms and distances in Å follow each position.
Space group P4/mmm (No. 123)
Inequivalent atoms, fractional coordinates:
Cs 0.0000 0.0000 0.0000 [1 per cell]  8 Tl 3.69, 4 Ge 3.89
Tl 0.0000 0.5000 0.5000 [2 per cell]  2 Rh 2.75
Ge 0.5000 0.5000 0.0000 [1 per cell]  2 Rh 2.46
Rh 0.5000 0.5000 0.5000 [1 per cell]  2 Ge 2.46, 4 Tl 2.75

Properties
DOS(E_F): 4.700 states/eV per cell

=====

Record 2
This record from Alexandria via LeMat-Bulk describes crystalline LaTb2Y at its relaxed geometry. The functional is PBE.

Unit cell a=7.3202 b=12.6673 c=5.7895 alpha=90.00 beta=90.00 gamma=90.00
Closest atoms and distances in Å follow each position.
Space group Cmcm (No. 63)
Inequivalent atoms, fractional coordinates:
La 0.0000 0.0842 0.2500 [4 per cell]  8 Tb 3.58-3.67, 2 La 3.60, 2 Y 3.66
Tb 0.2490 0.1676 0.7500 [8 per cell]  4 Tb 3.57-3.68, 4 La 3.58-3.67, 4 Y 3.59-3.69
Y 0.0000 0.4154 0.7500 [4 per cell]  8 Tb 3.59-3.69, 2 Y 3.60, 2 La 3.66

Properties
excess energy over the best structure of this formula in the dataset: 0.05 eV/f.u.
DOS(E_F): 27.433 states/eV per cell

=====

Record 3
This record from Alexandria via LeMat-Bulk describes crystalline CePm8Tm5 at its relaxed geometry. The functional is PBE.

Unit cell a=9.4804 b=9.4804 c=10.3533 alpha=90.00 beta=90.00 gamma=90.00
Closest atoms and distances in Å follow each position.
Space group I-4 (No. 82)
Inequivalent atoms, fractional coordinates:
Ce 0.0000 0.0000 0.0000 [2 per cell]  4 Pm 3.07
Pm 0.0704 0.8251 0.6476 [8 per cell]  5 Tm 3.33-3.57, 3 Pm 3.57-3.68
Pm 0.0842 0.6875 0.9994 [8 per cell]  1 Ce 3.07, 3 Tm 3.23-3.38
Tm 0.0000 0.5000 0.7500 [2 per cell]  8 Pm 3.23-3.33
Tm 0.1104 0.7044 0.3231 [8 per cell]  8 Pm 3.36-3.57, 2 Tm 3.46

Properties
DOS(E_F): 51.139 states/eV per cell

=====

Record 4
This record from Alexandria via LeMat-Bulk describes crystalline Nd6HgRu2Br3 at its relaxed geometry. The functional is PBE.

Unit cell a=7.2835 b=12.6103 c=8.2301 alpha=90.00 beta=107.04 gamma=90.00
Closest atoms and distances in Å follow each position.
Space group C2/m (No. 12)
Inequivalent atoms, fractional coordinates:
Nd 0.2001 0.0000 0.2013 [4 per cell]  2 Ru 2.81, 1 Hg 3.10
Nd 0.2492 0.1832 0.7980 [8 per cell]  2 Ru 2.81, 1 Hg 3.11
Hg 0.0000 0.5000 0.0000 [2 per cell]  6 Nd 3.10-3.11
Ru 0.0000 0.1667 0.0000 [4 per cell]  6 Nd 2.81
Br 0.0000 0.0000 0.5000 [2 per cell]  6 Nd 3.20-3.47
Br 0.0000 0.3323 0.5000 [4 per cell]  6 Nd 3.20-3.48

Properties
DOS(E_F): 12.694 states/eV per cell

=====

no.,energy (eV for the cell shown)
1,-17.48
2,-82.30
3,-125.30
4,-124.59